a | # Sr3AlSn3

A relaxed Sr3AlSn3 crystal (GGA-PBE, Alexandria via LeMat-Bulk).

abc: 7.3738 7.3738 8.9452
angles: 94.93 94.93 107.96
With the nearest neighbours (Å) after each atom.
Atoms (fractional coordinates):
Sn 0.5838 0.8597 0.7258  1 Al 2.83, 1 Sn 3.11
Sr 0.7544 0.2456 0.0000  6 Sn 3.43-3.61, 2 Al 3.46
Sn 0.9713 0.9713 0.2106  1 Al 2.99, 2 Sn 3.11, 1 Sr 3.33
Sr 0.1884 0.8116 0.5000  6 Sn 3.31-3.42
Sr 0.3688 0.3688 0.6569  3 Sn 3.33-3.45, 2 Al 3.39-3.68
Sn 0.4162 0.1403 0.2742  1 Al 2.83, 1 Sn 3.11
Sn 0.8597 0.5838 0.7258  1 Al 2.83, 1 Sn 3.11
Sr 0.2456 0.7544 0.0000  6 Sn 3.43-3.61, 2 Al 3.46
Sn 0.0287 0.0287 0.7894  1 Al 2.99, 2 Sn 3.11, 1 Sr 3.33
Al 0.3124 0.3124 0.0235  3 Sn 2.83-2.99
Sn 0.1403 0.4162 0.2742  1 Al 2.83, 1 Sn 3.11
Sr 0.8116 0.1884 0.5000  6 Sn 3.31-3.42
Sr 0.6312 0.6312 0.3431  3 Sn 3.33-3.45, 2 Al 3.39-3.68
Al 0.6876 0.6876 0.9765  3 Sn 2.83-2.99

## Properties
Symmetry   C2/m, No. 12

b | # Sr3AlSn3

A relaxed Sr3AlSn3 crystal (GGA-PBE, Alexandria via LeMat-Bulk).

abc: 4.9562 6.5979 15.0492
angles: 83.01 80.52 67.94
With the nearest neighbours (Å) after each atom.
Atoms (fractional coordinates):
Sr 0.3965 0.2853 0.9217  7 Sn 3.45-3.62
Sr 0.2675 0.2356 0.2294  6 Sn 3.29-3.59, 2 Al 3.58
Sr 0.4808 0.6546 0.3839  7 Sn 3.43-3.74, 3 Al 3.47-3.69, 1 Sr 3.82
Sn 0.9788 0.8098 0.2327  1 Al 2.85, 1 Sn 2.99
Sn 0.1580 0.2332 0.4508  3 Al 2.82-2.88
Sr 0.5192 0.3454 0.6161  7 Sn 3.43-3.74, 3 Al 3.47-3.69, 1 Sr 3.82
Al 0.7797 0.0497 0.3910  4 Sn 2.82-2.88
Sr 0.7325 0.7644 0.7706  6 Sn 3.29-3.59, 2 Al 3.58
Al 0.2203 0.9503 0.6090  4 Sn 2.82-2.88
Sn 0.0212 0.1902 0.7673  1 Al 2.85, 1 Sn 2.99
Sn 0.8889 0.1456 0.0766  2 Sn 2.98-2.99
Sn 0.1111 0.8544 0.9234  2 Sn 2.98-2.99
Sr 0.6035 0.7147 0.0783  7 Sn 3.45-3.62
Sn 0.8420 0.7668 0.5492  3 Al 2.82-2.88

## Properties
Symmetry   C2/m, No. 12

Order of stability, best first: b, a

a | # Sr3Al2Sn3

A relaxed Sr3Al2Sn3 crystal (GGA-PBE, Alexandria via LeMat-Bulk).

abc: 5.2592 6.4049 15.4480
angles: 90.00 90.00 114.24
With the nearest neighbours (Å) after each atom.
Atoms (fractional coordinates):
Sn 0.9557 0.9114 0.4027  1 Al 2.79
Sr 0.6519 0.3039 0.4680  3 Al 3.34-3.62, 6 Sn 3.53-3.69, 3 Sr 3.62-3.68
Sr 0.3481 0.6961 0.5320  3 Al 3.34-3.62, 6 Sn 3.53-3.69, 3 Sr 3.62-3.68
Al 0.1777 0.3555 0.3358  1 Al 2.65, 1 Sn 2.79
Al 0.8223 0.6445 0.8358  1 Al 2.65, 1 Sn 2.79
Al 0.8223 0.6445 0.6642  1 Al 2.65, 1 Sn 2.79
Sn 0.0443 0.0886 0.5973  1 Al 2.79
Al 0.1777 0.3555 0.1642  1 Al 2.65, 1 Sn 2.79
Sr 0.3481 0.6961 0.9680  3 Al 3.34-3.62, 6 Sn 3.53-3.69, 3 Sr 3.62-3.68
Sn 0.0443 0.0886 0.9027  1 Al 2.79
Sr 0.6519 0.3039 0.0320  3 Al 3.34-3.62, 6 Sn 3.53-3.69, 3 Sr 3.62-3.68
Sn 0.9557 0.9114 0.0973  1 Al 2.79
Sn 0.7493 0.4987 0.2500  4 Al 3.06, 2 Sn 3.37
Sr 0.4550 0.9101 0.2500  7 Sn 3.44-3.56, 2 Al 3.50
Sn 0.2507 0.5013 0.7500  4 Al 3.06, 2 Sn 3.37
Sr 0.5450 0.0899 0.7500  7 Sn 3.44-3.56, 2 Al 3.50

## Properties
Symmetry   Cmcm, No. 63

b | # Sr3Al2Sn3

A relaxed Sr3Al2Sn3 crystal (GGA-PBE, Alexandria via LeMat-Bulk).

abc: 4.7923 6.6379 16.0918
angles: 90.00 90.00 111.16
With the nearest neighbours (Å) after each atom.
Atoms (fractional coordinates):
Sr 0.9315 0.8630 0.3912  3 Al 3.42-3.76, 7 Sn 3.42-3.82
Al 0.7648 0.5297 0.6003  4 Sn 2.84-2.86
Al 0.2352 0.4703 0.3997  4 Sn 2.84-2.86
Sr 0.9315 0.8630 0.1088  3 Al 3.42-3.76, 7 Sn 3.42-3.82
Sn 0.6407 0.2814 0.7500  2 Al 2.86
Sr 0.3462 0.6923 0.7500  5 Sn 3.30-3.65, 4 Al 3.54
Al 0.2352 0.4703 0.1003  4 Sn 2.84-2.86
Sn 0.3657 0.7314 0.9544  3 Al 2.84-2.85
Sr 0.6538 0.3077 0.2500  5 Sn 3.30-3.65, 4 Al 3.54
Sn 0.3593 0.7186 0.2500  2 Al 2.86
Sn 0.6343 0.2686 0.0456  3 Al 2.84-2.85
Sr 0.0685 0.1370 0.6088  3 Al 3.42-3.76, 7 Sn 3.42-3.82
Sr 0.0685 0.1370 0.8912  3 Al 3.42-3.76, 7 Sn 3.42-3.82
Sn 0.6343 0.2686 0.4544  3 Al 2.84-2.85
Sn 0.3657 0.7314 0.5456  3 Al 2.84-2.85
Al 0.7648 0.5297 0.8997  4 Sn 2.84-2.86

## Properties
Symmetry   Cmcm, No. 63

Order of stability, best first: b, a

a | # TaAlSn3

A relaxed TaAlSn3 crystal (GGA-PBE, Alexandria via LeMat-Bulk).

abc: 5.3895 5.3895 5.3895
angles: 90.00 90.00 90.00
With the nearest neighbours (Å) after each atom.
Atoms (fractional coordinates):
Sn 0.5000 0.0000 0.0000  2 Ta 2.69
Sn 0.0000 0.5000 0.0000  2 Ta 2.69
Sn 0.0000 0.0000 0.5000  2 Ta 2.69
Ta 0.0000 0.0000 0.0000  6 Sn 2.69
Al 0.5000 0.5000 0.5000  12 Sn 3.81

## Properties
Symmetry   Pm-3m, No. 221

b | # TaAlSn3

A relaxed TaAlSn3 crystal (GGA-PBE, Alexandria via LeMat-Bulk).

abc: 5.1277 5.1277 5.1277
angles: 90.00 90.00 90.00
With the nearest neighbours (Å) after each atom.
Atoms (fractional coordinates):
Sn 0.5000 0.0000 0.0000  2 Al 2.56
Al 0.0000 0.0000 0.0000  6 Sn 2.56
Ta 0.5000 0.5000 0.5000  12 Sn 3.63
Sn 0.0000 0.5000 0.0000  2 Al 2.56
Sn 0.0000 0.0000 0.5000  2 Al 2.56

## Properties
Symmetry   Pm-3m, No. 221

Order of stability, best first: a, b

a | # TaAl3Sn

A relaxed TaAl3Sn crystal (GGA-PBE, Alexandria via LeMat-Bulk).

abc: 5.0693 5.0693 5.0693
angles: 90.00 90.00 90.00
With the nearest neighbours (Å) after each atom.
Atoms (fractional coordinates):
Al 0.5000 0.0000 0.0000  2 Ta 2.53
Al 0.0000 0.5000 0.0000  2 Ta 2.53
Ta 0.0000 0.0000 0.0000  6 Al 2.53
Al 0.0000 0.0000 0.5000  2 Ta 2.53
Sn 0.5000 0.5000 0.5000  12 Al 3.58

## Properties
Symmetry   Pm-3m, No. 221

b | # TaAl3Sn

A relaxed TaAl3Sn crystal (GGA-PBE, Alexandria via LeMat-Bulk).

abc: 5.0150 5.0150 5.0150
angles: 90.00 90.00 90.00
With the nearest neighbours (Å) after each atom.
Atoms (fractional coordinates):
Ta 0.5000 0.5000 0.5000  12 Al 3.55
Al 0.0000 0.5000 0.0000  2 Sn 2.51
Sn 0.0000 0.0000 0.0000  6 Al 2.51
Al 0.5000 0.0000 0.0000  2 Sn 2.51
Al 0.0000 0.0000 0.5000  2 Sn 2.51

## Properties
Symmetry   Pm-3m, No. 221

Order of stability, best first: a, b

a | # Al2Tc2Sn

A relaxed Al2Tc2Sn crystal (GGA-PBE, Alexandria via LeMat-Bulk).

abc: 6.9635 6.9635 3.4019
angles: 90.00 90.00 90.00
With the nearest neighbours (Å) after each atom.
Atoms (fractional coordinates):
Al 0.3598 0.1402 0.5000  6 Tc 2.65-2.66, 1 Al 2.76
Tc 0.6536 0.1536 0.0000  2 Sn 2.64, 6 Al 2.65-2.66
Al 0.8598 0.3598 0.5000  6 Tc 2.65-2.66, 1 Al 2.76
Sn 0.5000 0.5000 0.0000  4 Tc 2.64
Tc 0.8464 0.6536 0.0000  2 Sn 2.64, 6 Al 2.65-2.66
Al 0.6402 0.8598 0.5000  6 Tc 2.65-2.66, 1 Al 2.76
Sn 0.0000 0.0000 0.0000  4 Tc 2.64
Tc 0.3464 0.8464 0.0000  2 Sn 2.64, 6 Al 2.65-2.66
Al 0.1402 0.6402 0.5000  6 Tc 2.65-2.66, 1 Al 2.76
Tc 0.1536 0.3464 0.0000  2 Sn 2.64, 6 Al 2.65-2.66

## Properties
Symmetry   P4/mbm, No. 127

b | # Al2Tc2Sn

A relaxed Al2Tc2Sn crystal (GGA-PBE, Alexandria via LeMat-Bulk).

abc: 7.0433 7.0433 3.1656
angles: 90.00 90.00 90.00
With the nearest neighbours (Å) after each atom.
Atoms (fractional coordinates):
Al 0.6267 0.1267 0.0000  1 Al 2.52, 6 Tc 2.58-2.63, 2 Sn 2.78
Tc 0.3315 0.1685 0.5000  6 Al 2.58-2.63
Tc 0.1685 0.6685 0.5000  6 Al 2.58-2.63
Tc 0.6685 0.8315 0.5000  6 Al 2.58-2.63
Tc 0.8315 0.3315 0.5000  6 Al 2.58-2.63
Sn 0.0000 0.0000 0.0000  4 Al 2.78, 8 Tc 3.06
Al 0.8733 0.6267 0.0000  1 Al 2.52, 6 Tc 2.58-2.63, 2 Sn 2.78
Al 0.1267 0.3733 0.0000  1 Al 2.52, 6 Tc 2.58-2.63, 2 Sn 2.78
Al 0.3733 0.8733 0.0000  1 Al 2.52, 6 Tc 2.58-2.63, 2 Sn 2.78
Sn 0.5000 0.5000 0.0000  4 Al 2.78, 8 Tc 3.06

## Properties
Symmetry   P4/mbm, No. 127

c | # Al2Tc2Sn

A relaxed Al2Tc2Sn crystal (GGA-PBE, Alexandria via LeMat-Bulk).

abc: 3.5432 3.5432 7.1703
angles: 75.70 75.70 90.00
With the nearest neighbours (Å) after each atom.
Atoms (fractional coordinates):
Tc 0.6058 0.6058 0.7885  4 Al 2.63, 1 Tc 2.84, 4 Sn 2.88
Al 0.7500 0.2500 0.5000  4 Al 2.51, 4 Tc 2.63
Al 0.2500 0.7500 0.5000  4 Al 2.51, 4 Tc 2.63
Sn 0.0000 0.0000 0.0000  8 Tc 2.88
Tc 0.3942 0.3942 0.2115  4 Al 2.63, 1 Tc 2.84, 4 Sn 2.88

## Properties
Symmetry   I4/mmm, No. 139

Order of stability, best first: a, b, c

a | # Al2SnTe

A relaxed Al2SnTe crystal (GGA-PBE, Alexandria via LeMat-Bulk).

abc: 4.3356 4.3356 8.0323
angles: 74.34 74.34 60.00
With the nearest neighbours (Å) after each atom.
Atoms (fractional coordinates):
Al 0.8885 0.8885 0.3344  1 Te 2.55, 3 Sn 2.80
Te 0.0000 0.0000 0.0000  2 Al 2.55
Sn 0.5000 0.5000 0.5000  6 Al 2.80
Al 0.1115 0.1115 0.6656  1 Te 2.55, 3 Sn 2.80

## Properties
Symmetry   R-3m, No. 166

b | # Al2SnTe

A relaxed Al2SnTe crystal (GGA-PBE, Alexandria via LeMat-Bulk).

abc: 6.2742 6.2742 7.7203
angles: 66.02 66.02 90.00
With the nearest neighbours (Å) after each atom.
Atoms (fractional coordinates):
Sn 0.2500 0.7500 0.5000  4 Al 2.67
Sn 0.5000 0.5000 0.0000  4 Al 2.67
Te 0.7500 0.2500 0.5000  4 Al 2.78
Te 0.0000 0.0000 0.0000  4 Al 2.78
Al 0.6088 0.1250 0.2500  2 Sn 2.67, 2 Te 2.78
Al 0.1412 0.6250 0.2500  2 Sn 2.67, 2 Te 2.78
Al 0.3750 0.3912 0.7500  2 Sn 2.67, 2 Te 2.78
Al 0.8750 0.8588 0.7500  2 Sn 2.67, 2 Te 2.78

## Properties
Symmetry   I-42d, No. 122

Order of stability, best first: b, a

a | # Al2Sn2Te

A relaxed Al2Sn2Te crystal (GGA-PBE, Alexandria via LeMat-Bulk).

abc: 4.6443 4.6443 6.8261
angles: 70.11 70.11 90.00
With the nearest neighbours (Å) after each atom.
Atoms (fractional coordinates):
Sn 0.2500 0.7500 0.5000  4 Al 2.91
Al 0.6041 0.6041 0.7919  1 Al 2.49
Te 0.0000 0.0000 0.0000  8 Al 3.51, 8 Sn 3.79
Sn 0.7500 0.2500 0.5000  4 Al 2.91
Al 0.3959 0.3959 0.2081  1 Al 2.49

## Properties
Symmetry   I4/mmm, No. 139

b | # Al2Sn2Te

A relaxed Al2Sn2Te crystal (GGA-PBE, Alexandria via LeMat-Bulk).

abc: 7.9136 7.9136 3.8571
angles: 90.00 90.00 90.00
With the nearest neighbours (Å) after each atom.
Atoms (fractional coordinates):
Sn 0.1801 0.6801 0.5000  6 Al 2.93-3.11
Sn 0.8199 0.3199 0.5000  6 Al 2.93-3.11
Al 0.8774 0.6226 0.0000  1 Al 2.74, 2 Sn 2.93
Te 0.0000 0.0000 0.0000  4 Al 3.14, 8 Sn 3.49
Al 0.6226 0.1226 0.0000  1 Al 2.74, 2 Sn 2.93
Sn 0.3199 0.1801 0.5000  6 Al 2.93-3.11
Te 0.5000 0.5000 0.0000  4 Al 3.14, 8 Sn 3.49
Al 0.3774 0.8774 0.0000  1 Al 2.74, 2 Sn 2.93
Al 0.1226 0.3774 0.0000  1 Al 2.74, 2 Sn 2.93
Sn 0.6801 0.8199 0.5000  6 Al 2.93-3.11

## Properties
Symmetry   P4/mbm, No. 127

c | # Al2Sn2Te

A relaxed Al2Sn2Te crystal (GGA-PBE, Alexandria via LeMat-Bulk).

abc: 3.9215 3.9215 8.6844
angles: 76.95 76.95 90.00
With the nearest neighbours (Å) after each atom.
Atoms (fractional coordinates):
Al 0.2500 0.7500 0.5000  4 Al 2.77, 4 Sn 3.01
Al 0.7500 0.2500 0.5000  4 Al 2.77, 4 Sn 3.01
Te 0.0000 0.0000 0.0000  8 Sn 3.33
Sn 0.6115 0.6115 0.7770  4 Al 3.01, 4 Te 3.33
Sn 0.3885 0.3885 0.2230  4 Al 3.01, 4 Te 3.33

## Properties
Symmetry   I4/mmm, No. 139

d | # Al2Sn2Te

A relaxed Al2Sn2Te crystal (GGA-PBE, Alexandria via LeMat-Bulk).

abc: 8.8655 8.8655 3.1723
angles: 90.00 90.00 90.00
With the nearest neighbours (Å) after each atom.
Atoms (fractional coordinates):
Te 0.5000 0.5000 0.0000  2 Te 3.17, 4 Sn 3.30
Al 0.6265 0.8735 0.5000  6 Sn 3.02-3.08, 3 Al 3.17
Sn 0.6682 0.1682 0.0000  6 Al 3.02-3.08, 2 Sn 3.17, 2 Te 3.30
Te 0.0000 0.0000 0.0000  2 Te 3.17, 4 Sn 3.30
Al 0.1265 0.6265 0.5000  6 Sn 3.02-3.08, 3 Al 3.17
Sn 0.8318 0.6682 0.0000  6 Al 3.02-3.08, 2 Sn 3.17, 2 Te 3.30
Sn 0.1682 0.3318 0.0000  6 Al 3.02-3.08, 2 Sn 3.17, 2 Te 3.30
Al 0.8735 0.3735 0.5000  6 Sn 3.02-3.08, 3 Al 3.17
Sn 0.3318 0.8318 0.0000  6 Al 3.02-3.08, 2 Sn 3.17, 2 Te 3.30
Al 0.3735 0.1265 0.5000  6 Sn 3.02-3.08, 3 Al 3.17

## Properties
Symmetry   P4/mbm, No. 127

Order of stability, best first: c, b, d, a

a | # AlSnTe3

A relaxed AlSnTe3 crystal (GGA-PBE, Alexandria via LeMat-Bulk).

abc: 7.2015 9.9240 10.1969
angles: 123.70 90.00 90.00
With the nearest neighbours (Å) after each atom.
Atoms (fractional coordinates):
Te 0.0820 0.8409 0.0422  2 Al 2.72-2.85
Te 0.0547 0.7265 0.6381  3 Al 2.73-2.86
Te 0.3703 0.1095 0.7360  1 Al 2.80, 1 Sn 2.99
Sn 0.7624 0.0226 0.6251  5 Te 2.99-3.29
Te 0.1297 0.6095 0.2360  1 Al 2.80, 1 Sn 2.99
Te 0.4180 0.3409 0.5422  2 Al 2.72-2.85
Te 0.4453 0.2265 0.1381  3 Al 2.73-2.86
Al 0.2524 0.4741 0.3996  6 Te 2.72-2.86
Te 0.8703 0.3905 0.7640  1 Al 2.80, 1 Sn 2.99
Te 0.5547 0.7735 0.8619  3 Al 2.73-2.86
Sn 0.2624 0.4774 0.8749  5 Te 2.99-3.29
Sn 0.7376 0.5226 0.1251  5 Te 2.99-3.29
Te 0.5820 0.6591 0.4578  2 Al 2.72-2.85
Sn 0.2376 0.9774 0.3749  5 Te 2.99-3.29
Te 0.9180 0.1591 0.9578  2 Al 2.72-2.85
Te 0.9453 0.2735 0.3619  3 Al 2.73-2.86
Te 0.6297 0.8905 0.2640  1 Al 2.80, 1 Sn 2.99
Al 0.7476 0.5259 0.6004  6 Te 2.72-2.86
Al 0.7524 0.0259 0.1004  6 Te 2.72-2.86
Al 0.2476 0.9741 0.8996  6 Te 2.72-2.86

## Properties
Symmetry   P2_1/c, No. 14

b | # AlSnTe3

A relaxed AlSnTe3 crystal (GGA-PBE, Alexandria via LeMat-Bulk).

abc: 5.7227 5.7227 5.7227
angles: 90.00 90.00 90.00
With the nearest neighbours (Å) after each atom.
Atoms (fractional coordinates):
Te 0.0000 0.5000 0.0000  2 Sn 2.86
Al 0.5000 0.5000 0.5000  12 Te 4.05
Te 0.0000 0.0000 0.5000  2 Sn 2.86
Te 0.5000 0.0000 0.0000  2 Sn 2.86
Sn 0.0000 0.0000 0.0000  6 Te 2.86

## Properties
Symmetry   Pm-3m, No. 221

c | # AlSnTe3

A relaxed AlSnTe3 crystal (GGA-PBE, Alexandria via LeMat-Bulk).

abc: 5.3578 5.3578 5.3578
angles: 90.00 90.00 90.00
With the nearest neighbours (Å) after each atom.
Atoms (fractional coordinates):
Sn 0.5000 0.5000 0.5000  12 Te 3.79
Te 0.0000 0.0000 0.5000  2 Al 2.68
Te 0.5000 0.0000 0.0000  2 Al 2.68
Te 0.0000 0.5000 0.0000  2 Al 2.68
Al 0.0000 0.0000 0.0000  6 Te 2.68

## Properties
Symmetry   Pm-3m, No. 221

Order of stability, best first: a, c, b